DFT (PBE) results for a relaxed structure of Li2WCl.

Cell lengths 2.862, 4.586, 4.605 Å; angles 90.00, 90.00, 90.00 degrees
Space group Pmmm (No. 47)
Inequivalent atoms, fractional coordinates:
1 Li 0.000 0.000 0.000
2 Li 0.500 0.500 0.000
3 W 0.000 0.500 0.500
4 Cl 0.500 0.000 0.500

Calculated values
Crystal system: orthorhombic
ΔE to the lowest computed polymorph (meV per atom): 781
Uncorrected formation energy (meV/atom): 570



DFT (PBE) results for a relaxed structure of Li2WCl.

Cell lengths 7.121, 7.121, 4.744 Å; angles 90.00, 90.00, 90.00 degrees
Space group I-42d (No. 122)
Inequivalent atoms, fractional coordinates:
1 Li 0.195 0.250 0.125
2 W 0.000 0.000 0.500
3 Cl 0.000 0.000 0.000

Calculated values
Crystal system: tetragonal
ΔE to the lowest computed polymorph (meV per atom): 811
Uncorrected formation energy (meV/atom): 600



DFT (PBE) results for a relaxed structure of LiWCl2.

Cell lengths 3.0760, 3.0760, 22.6104 Å; angles 90.00, 90.00, 120.00 degrees
Space group R-3m (No. 166, hexagonal axes)
Inequivalent atoms, fractional coordinates:
1 Li 0.0000 0.0000 0.0000
2 W 0.0000 0.0000 0.5000
3 Cl 0.0000 0.0000 0.2579

Calculated values
Crystal system: trigonal
ΔE to the lowest computed polymorph (meV per atom): 450
Uncorrected formation energy (meV/atom): 7



DFT (PBE) results for a relaxed structure of LiWCl.

Cell lengths 3.055, 4.915, 12.783 Å; angles 90.00, 90.00, 90.00 degrees
Space group Fmm2 (No. 42)
Inequivalent atoms, fractional coordinates:
1 Li 0.000 0.000 0.000
2 W 0.000 0.000 0.684
3 Cl 0.000 0.000 0.348

Calculated values
Crystal system: orthorhombic
ΔE to the lowest computed polymorph (meV per atom): 84
Uncorrected formation energy (meV/atom): 281



DFT (PBE) results for a relaxed structure of LiWCl2.

Cell lengths 3.005, 5.753, 7.655 Å; angles 90.00, 90.00, 90.00 degrees
Space group Cmmm (No. 65)
Inequivalent atoms, fractional coordinates:
1 Li 0.000 0.000 0.000
2 W 0.000 0.000 0.500
3 Cl 0.000 0.500 0.235

Calculated values
Crystal system: orthorhombic
ΔE to the lowest computed polymorph (meV per atom): 354
Uncorrected formation energy (meV/atom): -90



DFT (PBE) results for a relaxed structure of Li2W2Cl7.

Cell lengths 9.121, 8.952, 15.069 Å; angles 90.00, 107.10, 90.00 degrees
Space group C2/c (No. 15)
Inequivalent atoms, fractional coordinates:
1 Li 0.047 0.049 0.115
2 W 0.082 0.387 0.997
3 Cl 0.000 0.080 0.250
4 Cl 0.042 0.472 0.138
5 Cl 0.091 0.173 0.533
6 Cl 0.224 0.280 0.890

Calculated values
Crystal system: monoclinic
Uncorrected formation energy (meV/atom): -798



DFT (PBE) results for a relaxed structure of LiWCl2.

Cell lengths 3.082, 3.082, 7.569 Å; angles 90.00, 90.00, 90.00 degrees
Space group P4mm (No. 99)
Inequivalent atoms, fractional coordinates:
1 Li 0.000 0.000 0.000
2 W 0.500 0.500 0.255
3 Cl 0.000 0.000 0.445
4 Cl 0.500 0.500 0.914

Calculated values
Crystal system: tetragonal
ΔE to the lowest computed polymorph (meV per atom): 317
Uncorrected formation energy (meV/atom): -127



DFT (PBE) results for a relaxed structure of Li2WCl.

Cell lengths 7.018, 7.018, 7.018 Å; angles 90.00, 90.00, 90.00 degrees
Space group Fm-3m (No. 225)
Inequivalent atoms, fractional coordinates:
1 Li 0.250 0.250 0.250
2 W 0.000 0.000 0.000
3 Cl 0.000 0.000 0.500

Calculated values
Crystal system: cubic
ΔE to the lowest computed polymorph (meV per atom): 1225
Uncorrected formation energy (meV/atom): 1014



DFT (PBE) results for a relaxed structure of LiWCl2.

Cell lengths 3.295, 4.912, 9.164 Å; angles 90.00, 90.00, 90.00 degrees
Space group Cmm2 (No. 35)
Inequivalent atoms, fractional coordinates:
1 Li 0.000 0.000 0.000
2 W 0.000 0.500 0.715
3 Cl 0.000 0.000 0.516
4 Cl 0.000 0.500 0.156

Calculated values
Crystal system: orthorhombic
ΔE to the lowest computed polymorph (meV per atom): 387
Uncorrected formation energy (meV/atom): -56



DFT (PBE) results for a relaxed structure of LiWCl.

Cell lengths 5.626, 5.626, 5.626 Å; angles 90.00, 90.00, 90.00 degrees
Space group F-43m (No. 216)
Inequivalent atoms, fractional coordinates:
1 Li 0.000 0.000 0.000
2 W 0.000 0.000 0.500
3 Cl 0.250 0.250 0.750

Calculated values
Crystal system: cubic
ΔE to the lowest computed polymorph (meV per atom): 840
Uncorrected formation energy (meV/atom): 1037



DFT (PBE) results for a relaxed structure of Li2WCl.

Cell lengths 2.830, 2.854, 16.904 Å; angles 90.00, 90.00, 90.00 degrees
Space group Imm2 (No. 44)
Inequivalent atoms, fractional coordinates:
1 Li 0.000 0.000 0.000
2 Li 0.000 0.500 0.166
3 W 0.000 0.000 0.376
4 Cl 0.000 0.500 0.743

Calculated values
Crystal system: orthorhombic
ΔE to the lowest computed polymorph (meV per atom): 377
Uncorrected formation energy (meV/atom): 166



DFT (PBE) results for a relaxed structure of LiWCl.

Cell lengths 2.867, 2.867, 12.290 Å; angles 90.00, 90.00, 90.00 degrees
Space group I4mm (No. 107)
Inequivalent atoms, fractional coordinates:
1 Li 0.000 0.000 0.000
2 W 0.000 0.000 0.667
3 Cl 0.000 0.000 0.306

Calculated values
Crystal system: tetragonal
ΔE to the lowest computed polymorph (meV per atom): 225
Uncorrected formation energy (meV/atom): 422



DFT (PBE) results for a relaxed structure of Li3WCl.

Cell lengths 5.258, 5.258, 5.258 Å; angles 90.00, 90.00, 90.00 degrees
Space group Pm-3m (No. 221)
Inequivalent atoms, fractional coordinates:
1 Li 0.000 0.000 0.500
2 W 0.000 0.000 0.000
3 Cl 0.500 0.500 0.500

Calculated values
Crystal system: cubic
ΔE to the lowest computed polymorph (meV per atom): 585
Uncorrected formation energy (meV/atom): 1104



DFT (PBE) results for a relaxed structure of LiWCl2.

Cell lengths 6.478, 6.497, 2.940 Å; angles 90.00, 90.00, 90.00 degrees
Space group Cmmm (No. 65)
Inequivalent atoms, fractional coordinates:
1 Li 0.000 0.000 0.000
2 W 0.000 0.500 0.000
3 Cl 0.250 0.250 0.500

Calculated values
Crystal system: orthorhombic
ΔE to the lowest computed polymorph (meV per atom): 700
Uncorrected formation energy (meV/atom): 256



DFT (PBE) results for a relaxed structure of Li3YCl6.

Cell lengths 11.1872, 11.1872, 13.1422 Å; angles 90.00, 90.00, 120.00 degrees
Space group R-3 (No. 148, hexagonal axes)
Inequivalent atoms, fractional coordinates:
1 Li 0.0466 0.2660 0.2068
2 Y 0.0000 0.0000 0.0000
3 Y 0.0000 0.0000 0.5000
4 Cl 0.0126 0.1908 0.8748
5 Cl 0.0133 0.2037 0.3896

Calculated values
Crystal system: trigonal
Uncorrected formation energy (meV/atom): -1956



DFT (PBE) results for a relaxed structure of Li2YCl.

Cell lengths 7.108, 7.108, 7.108 Å; angles 90.00, 90.00, 90.00 degrees
Space group F-43m (No. 216)
Inequivalent atoms, fractional coordinates:
1 Li 0.000 0.000 0.000
2 Li 0.250 0.250 0.250
3 Y 0.000 0.000 0.500
4 Cl 0.250 0.250 0.750

Calculated values
Crystal system: cubic
ΔE to the lowest computed polymorph (meV per atom): 542
Uncorrected formation energy (meV/atom): -171



DFT (PBE) results for a relaxed structure of Li2YCl.

Cell lengths 4.244, 4.244, 9.972 Å; angles 90.00, 90.00, 90.00 degrees
Space group I-4m2 (No. 119)
Inequivalent atoms, fractional coordinates:
1 Li 0.000 0.000 0.000
2 Li 0.000 0.500 0.250
3 Y 0.000 0.500 0.750
4 Cl 0.000 0.000 0.500

Calculated values
Crystal system: tetragonal
ΔE to the lowest computed polymorph (meV per atom): 422
Uncorrected formation energy (meV/atom): -291



DFT (PBE) results for a relaxed structure of Li2YCl.

Cell lengths 3.405, 5.585, 10.136 Å; angles 90.00, 90.00, 90.00 degrees
Space group Imm2 (No. 44)
Inequivalent atoms, fractional coordinates:
1 Li 0.000 0.000 0.000
2 Li 0.000 0.500 0.207
3 Y 0.000 0.500 0.803
4 Cl 0.000 0.000 0.529

Calculated values
Crystal system: orthorhombic
ΔE to the lowest computed polymorph (meV per atom): 264
Uncorrected formation energy (meV/atom): -449



DFT (PBE) results for a relaxed structure of Li2Y2Cl7.

Cell lengths 7.951, 10.868, 7.427 Å; angles 90.00, 97.16, 90.00 degrees
Space group C2/m (No. 12)
Inequivalent atoms, fractional coordinates:
1 Li 0.248 0.000 0.398
2 Y 0.000 0.336 0.000
3 Cl 0.000 0.000 0.500
4 Cl 0.085 0.500 0.271
5 Cl 0.228 0.181 0.192

Calculated values
Crystal system: monoclinic
Uncorrected formation energy (meV/atom): -1920



DFT (PBE) results for a relaxed structure of Li2YCl.

Cell lengths 3.331, 3.331, 8.024 Å; angles 90.00, 90.00, 90.00 degrees
Space group P4mm (No. 99)
Inequivalent atoms, fractional coordinates:
1 Li 0.000 0.000 0.000
2 Li 0.500 0.500 0.249
3 Y 0.000 0.000 0.535
4 Cl 0.500 0.500 0.788

Calculated values
Crystal system: tetragonal
ΔE to the lowest computed polymorph (meV per atom): 187
Uncorrected formation energy (meV/atom): -526



DFT (PBE) results for a relaxed structure of LiYCl.

Cell lengths 3.537, 6.139, 13.692 Å; angles 90.00, 90.00, 90.00 degrees
Space group Fmm2 (No. 42)
Inequivalent atoms, fractional coordinates:
1 Li 0.000 0.000 0.000
2 Y 0.000 0.000 0.291
3 Cl 0.000 0.000 0.626

Calculated values
Crystal system: orthorhombic
ΔE to the lowest computed polymorph (meV per atom): 61
Uncorrected formation energy (meV/atom): -814



DFT (PBE) results for a relaxed structure of LiY2Cl2.

Cell lengths 4.863, 4.863, 11.904 Å; angles 90.00, 90.00, 90.00 degrees
Space group I4/mmm (No. 139)
Inequivalent atoms, fractional coordinates:
1 Li 0.000 0.000 0.000
2 Y 0.000 0.500 0.250
3 Cl 0.000 0.000 0.357

Calculated values
Crystal system: tetragonal
ΔE to the lowest computed polymorph (meV per atom): 4
Uncorrected formation energy (meV/atom): -758



DFT (PBE) results for a relaxed structure of Li2YCl.

Cell lengths 3.323, 4.772, 5.884 Å; angles 90.00, 90.00, 90.00 degrees
Space group Pmmm (No. 47)
Inequivalent atoms, fractional coordinates:
1 Li 0.000 0.000 0.000
2 Li 0.500 0.500 0.000
3 Y 0.000 0.500 0.500
4 Cl 0.500 0.000 0.500

Calculated values
Crystal system: orthorhombic
ΔE to the lowest computed polymorph (meV per atom): 296
Uncorrected formation energy (meV/atom): -417



DFT (PBE) results for a relaxed structure of LiY2Cl6.

Cell lengths 6.391, 6.391, 11.536 Å; angles 90.00, 90.00, 90.00 degrees
Space group P4_2/mnm (No. 136)
Inequivalent atoms, fractional coordinates:
1 Li 0.000 0.000 0.000
2 Y 0.000 0.000 0.345
3 Cl 0.200 0.200 0.165
4 Cl 0.220 0.220 0.500

Calculated values
Crystal system: tetragonal
Uncorrected formation energy (meV/atom): -2037



DFT (PBE) results for a relaxed structure of Li2YCl.

Cell lengths 3.921, 3.921, 6.001 Å; angles 90.00, 90.00, 90.00 degrees
Space group P4/mmm (No. 123)
Inequivalent atoms, fractional coordinates:
1 Li 0.000 0.500 0.000
2 Y 0.000 0.000 0.500
3 Cl 0.500 0.500 0.500

Calculated values
Crystal system: tetragonal
ΔE to the lowest computed polymorph (meV per atom): 315
Uncorrected formation energy (meV/atom): -398



DFT (PBE) results for a relaxed structure of Li2YCl.

Cell lengths 5.461, 9.577, 3.453 Å; angles 90.00, 90.00, 90.00 degrees
Space group Cmmm (No. 65)
Inequivalent atoms, fractional coordinates:
1 Li 0.000 0.185 0.000
2 Y 0.000 0.500 0.500
3 Cl 0.000 0.000 0.500

Calculated values
Crystal system: orthorhombic
ΔE to the lowest computed polymorph (meV per atom): 79
Uncorrected formation energy (meV/atom): -634



DFT (PBE) results for a relaxed structure of LiYCl.

Cell lengths 6.746, 6.746, 6.746 Å; angles 90.00, 90.00, 90.00 degrees
Space group F-43m (No. 216)
Inequivalent atoms, fractional coordinates:
1 Li 0.000 0.000 0.000
2 Y 0.250 0.250 0.750
3 Cl 0.250 0.250 0.250

Calculated values
Crystal system: cubic
ΔE to the lowest computed polymorph (meV per atom): 970
Uncorrected formation energy (meV/atom): 95